The following is a PBE calculation of a geometry-optimized HgGeRu structure, from Alexandria.

Results
Its total energy is -0.34493 Ry per atom.

a = 6.0443 Å, b = 7.7901 Å, c = 5.7920 Å
α = 90.00°, β = 121.43°, γ = 90.00°
With the nearest neighbours (Å) after each atom.
Space group C2/m (No. 12)
Symmetry-distinct sites (fractional):
Hg 0.0000 0.2492 0.0000 x4  4 Ru 2.90-2.91, 2 Hg 3.02, 4 Ge 3.15-3.16
Ge 0.2128 0.5000 0.4994 x4  4 Ru 2.45-2.52, 1 Ge 2.58
Ru 0.0000 0.2220 0.5000 x4  4 Ge 2.45-2.52



The following is a PBE calculation of a geometry-optimized HgGeRu structure, from Alexandria.

Results
Its total energy is -0.34511 Ry per atom.

a = 6.3407 Å, b = 2.9544 Å, c = 6.3029 Å
α = 90.00°, β = 90.00°, γ = 90.00°
With the nearest neighbours (Å) after each atom.
Space group Pmma (No. 51)
Symmetry-distinct sites (fractional):
Hg 0.0000 0.0000 0.0000 x2  4 Ru 2.92, 4 Hg 2.95-3.17, 2 Ge 3.15
Ge 0.0000 0.0000 0.5000 x2  4 Ru 2.47
Ru 0.2500 0.5000 0.3104 x2  4 Ge 2.47



The following is a PBE calculation of a geometry-optimized Hg2GeRu2 structure, from Alexandria.

Results
Its total energy is -0.33655 Ry per atom.

a = 6.3393 Å, b = 6.3393 Å, c = 4.5076 Å
α = 90.00°, β = 90.00°, γ = 90.00°
With the nearest neighbours (Å) after each atom.
Space group P4/mbm (No. 127)
Symmetry-distinct sites (fractional):
Hg 0.1679 0.3321 0.0000 x4  6 Ru 2.82-3.00, 1 Hg 3.01
Ge 0.0000 0.0000 0.5000 x2  4 Ru 2.44
Ru 0.1429 0.6429 0.5000 x4  2 Ge 2.44, 1 Ru 2.56



The following is a PBE calculation of a geometry-optimized HgGeRu structure, from Alexandria.

Results
Its total energy is -0.34648 Ry per atom.

a = 4.2990 Å, b = 4.2990 Å, c = 6.0147 Å
α = 90.00°, β = 90.00°, γ = 90.00°
With the nearest neighbours (Å) after each atom.
Space group P4/nmm (No. 129, origin choice 2)
Symmetry-distinct sites (fractional):
Hg 0.2500 0.2500 0.1519 x2  1 Ge 2.65
Ge 0.2500 0.2500 0.7111 x2  4 Ru 2.50, 1 Hg 2.65
Ru 0.2500 0.7500 0.5000 x2  4 Ge 2.50